Entry 1:
# PrGaCu

An optimized crystal structure of PrGaCu (PBE-GGA, the Alexandria database).

## Properties
symmetry = F-43m (216)
E_form = -6.97 kcal/mol of atoms
total magnetic moment = 0.000 μB/f.u.

```
data_PrGaCu
_symmetry_space_group_name_H-M 'P 1'
_symmetry_Int_Tables_number 1
_cell_length_a 4.602
_cell_length_b 4.602
_cell_length_c 4.602
_cell_angle_alpha 60.00
_cell_angle_beta 60.00
_cell_angle_gamma 60.00
loop_
_symmetry_equiv_pos_as_xyz
'x,y,z'
loop_
_atom_site_label
_atom_site_fract_x
_atom_site_fract_y
_atom_site_fract_z
_atom_site_occupancy
Ga1 0.000 0.000 0.000 1
Pr1 0.500 0.500 0.500 1
Cu1 0.250 0.250 0.250 1
```

=====

Entry 2:
# HoSiPb

An optimized crystal structure of HoSiPb (PBE-GGA, the Alexandria database).

## Properties
symmetry = Cmcm (63)
total magnetic moment = 0.000 μB/f.u.
formation energy from raw total energies = -0.486 eV/atom

```
data_HoSiPb
_symmetry_space_group_name_H-M 'P 1'
_symmetry_Int_Tables_number 1
_cell_length_a 3.763
_cell_length_b 4.138
_cell_length_c 9.712
_cell_angle_alpha 77.70
_cell_angle_beta 90.00
_cell_angle_gamma 90.00
loop_
_symmetry_equiv_pos_as_xyz
'x,y,z'
loop_
_atom_site_label
_atom_site_fract_x
_atom_site_fract_y
_atom_site_fract_z
_atom_site_occupancy
Si1 0.250 0.538 0.923 1
Si2 0.750 0.462 0.077 1
Ho1 0.750 0.083 0.833 1
Ho2 0.250 0.917 0.167 1
Pb1 0.250 0.694 0.611 1
Pb2 0.750 0.306 0.389 1
```

=====

Entry 3:
# Dy2Er6Th

An optimized crystal structure of Dy2Er6Th (PBE-GGA, the Alexandria database).

## Properties
symmetry = R3m (160)
E_form = 9.89 kcal/mol of atoms
total magnetic moment = 0.001 μB/f.u.

```
data_Dy2Er6Th
_symmetry_space_group_name_H-M 'P 1'
_symmetry_Int_Tables_number 1
_cell_length_a 6.861
_cell_length_b 6.861
_cell_length_c 8.677
_cell_angle_alpha 66.71
_cell_angle_beta 66.71
_cell_angle_gamma 60.00
loop_
_symmetry_equiv_pos_as_xyz
'x,y,z'
loop_
_atom_site_label
_atom_site_fract_x
_atom_site_fract_y
_atom_site_fract_z
_atom_site_occupancy
Th1 0.336 0.336 0.991 1
Er1 0.282 0.771 0.663 1
Er2 0.284 0.282 0.663 1
Er3 0.056 0.559 0.329 1
Er4 0.055 0.056 0.329 1
Er5 0.771 0.284 0.663 1
Er6 0.559 0.055 0.329 1
Dy1 0.581 0.581 0.257 1
Dy2 0.741 0.741 0.778 1
```

=====

Entry 4:
# Cd2FeHg

An optimized crystal structure of Cd2FeHg (PBE-GGA, the Alexandria database).

## Properties
symmetry = Pmm2 (25)
E_form = 7.42 kcal/mol of atoms
total magnetic moment = 2.733 μB/f.u.

```
data_Cd2FeHg
_symmetry_space_group_name_H-M 'P 1'
_symmetry_Int_Tables_number 1
_cell_length_a 3.004
_cell_length_b 4.020
_cell_length_c 6.398
_cell_angle_alpha 90.00
_cell_angle_beta 90.00
_cell_angle_gamma 90.00
loop_
_symmetry_equiv_pos_as_xyz
'x,y,z'
loop_
_atom_site_label
_atom_site_fract_x
_atom_site_fract_y
_atom_site_fract_z
_atom_site_occupancy
Hg1 0.500 0.500 0.725 1
Cd1 0.500 0.500 0.272 1
Cd2 0.000 0.000 0.004 1
Fe1 0.000 0.000 0.499 1
```

=====

Entry 5:
# K2NiMoP

An optimized crystal structure of K2NiMoP (PBE-GGA, the Alexandria database).

## Properties
symmetry = P4/mmm (123)
E_form = 21.50 kcal/mol of atoms
total magnetic moment = 4.696 μB/f.u.

```
data_K2NiMoP
_symmetry_space_group_name_H-M 'P 1'
_symmetry_Int_Tables_number 1
_cell_length_a 6.313
_cell_length_b 4.697
_cell_length_c 6.313
_cell_angle_alpha 90.00
_cell_angle_beta 90.00
_cell_angle_gamma 90.00
loop_
_symmetry_equiv_pos_as_xyz
'x,y,z'
loop_
_atom_site_label
_atom_site_fract_x
_atom_site_fract_y
_atom_site_fract_z
_atom_site_occupancy
Ni1 0.500 0.500 0.500 1
K1 0.000 0.000 0.500 1
K2 0.500 0.000 0.000 1
Mo1 0.000 0.500 0.000 1
P1 0.000 0.000 0.000 1
```

=====

Entry 6:
# LaTb3Cu4

An optimized crystal structure of LaTb3Cu4 (PBE-GGA, the Alexandria database).

## Properties
symmetry = P4/mmm (123)
E_form = -4.70 kcal/mol of atoms
total magnetic moment = 0.000 μB/f.u.

```
data_LaTb3Cu4
_symmetry_space_group_name_H-M 'P 1'
_symmetry_Int_Tables_number 1
_cell_length_a 4.999
_cell_length_b 7.017
_cell_length_c 9.999
_cell_angle_alpha 90.00
_cell_angle_beta 90.00
_cell_angle_gamma 90.00
loop_
_symmetry_equiv_pos_as_xyz
'x,y,z'
loop_
_atom_site_label
_atom_site_fract_x
_atom_site_fract_y
_atom_site_fract_z
_atom_site_occupancy
Cu1 0.000 0.237 0.250 1
Cu2 0.000 0.763 0.750 1
Cu3 0.000 0.237 0.750 1
Cu4 0.500 0.236 0.500 1
Cu5 0.500 0.236 0.000 1
Cu6 0.500 0.764 0.000 1
Cu7 0.000 0.763 0.250 1
Cu8 0.500 0.764 0.500 1
Tb1 0.500 0.000 0.250 1
Tb2 0.500 0.500 0.750 1
Tb3 0.500 0.500 0.250 1
Tb4 0.500 0.000 0.750 1
Tb5 0.000 0.000 0.000 1
Tb6 0.000 0.000 0.500 1
La1 0.000 0.500 0.500 1
La2 0.000 0.500 0.000 1
```